(1)
VASP calculation (PBE) on a geometry-optimized CoTe2S structure.

Its energy relative to the elements, uncorrected is 0.2 eV/f.u. The value obtained for the magnetization is 0.000 μB per cell. The total DFT energy (no corrections) is -4.323 eV per atom.

The space group is R-3m (No. 166, hexagonal axes) and the conventional cell measures 3.8649, 3.8649 and 22.6665 Å, with angles of 90.00, 90.00 and 120.00 degrees. The inequivalent atoms are Co at (0.0000, 0.0000, 0.0000), Te at (0.0000, 0.0000, 0.3892) and S at (0.0000, 0.0000, 0.5000).



(2)
VASP calculation (PBE) on a geometry-optimized Pr7Tm12Cd structure.

The formation energy from the elements comes out at 16.7 kJ/mol of atoms. The value obtained for the magnetization is 0.000 μB per cell. The total DFT energy (no corrections) is -4.229 eV per atom.

The space group is R-3 (No. 148, hexagonal axes) and the conventional cell measures 11.8631, 11.8631 and 16.0514 Å, with angles of 90.00, 90.00 and 120.00 degrees. The inequivalent atoms are Pr at (0.0000, 0.0000, 0.0000), Pr at (0.0613, 0.8751, 0.2880), Tm at (0.0402, 0.5795, 0.2185), Tm at (0.0556, 0.4731, 0.5844) and Cd at (0.0000, 0.0000, 0.5000).



(3)
VASP calculation (PBE) on a geometry-optimized SrTcN3 structure.

Its energy relative to the elements, uncorrected is -1.8 eV/f.u. The value obtained for the magnetization is 0.000 μB per cell. The total DFT energy (no corrections) is -7.756 eV per atom.

The space group is C2/m (No. 12) and the conventional cell measures 12.547, 3.773 and 6.709 Å, with angles of 90.00, 105.01 and 90.00 degrees. The inequivalent atoms are Sr at (0.116, 0.000, 0.330), Tc at (0.157, 0.500, 0.859), N at (0.007, 0.500, 0.909), N at (0.156, 0.500, 0.596) and N at (0.182, 0.000, 0.988).



Calculated density / g cm⁻³: 5.9; 8.0; 4.9